DFT (PBE) results for crystalline SrTmSb at its relaxed geometry.

Cell and atoms, written as CIF:
```
data_SrTmSb
_space_group_name_H-M_alt 'P 1'
_space_group_IT_number 1
_space_group_name_Hall 'P 1'
_cell_length_a 5.345
_cell_length_b 5.345
_cell_length_c 5.345
_cell_angle_alpha 60.00
_cell_angle_beta 60.00
_cell_angle_gamma 60.00
loop_
_atom_site_label
_atom_site_fract_x
_atom_site_fract_y
_atom_site_fract_z
_atom_site_occupancy
Sr1 0.000 0.000 0.000 1
Tm1 0.750 0.750 0.750 1
Sb1 0.500 0.500 0.500 1
```

- electronic total energy (eV for the cell shown) = -10.273
- spin magnetization (μB per formula unit) = 0.464